Record 1
Entry from Alexandria: a relaxed TcSb2Cl crystal (PBE-GGA).

Geometry as POSCAR:
```
TcSb2Cl
1.0
3.365 0.000 0.000
0.000 3.397 0.000
0.000 0.000 16.211
Tc Sb Cl
2 4 2
Cartesian
0.000 0.000 0.000
1.683 1.698 8.106
0.000 0.000 9.442
0.000 1.698 6.023
1.683 0.000 14.129
1.683 1.698 1.336
0.000 1.698 11.951
1.683 0.000 3.846
```

The excess energy over the best structure of this formula in the dataset comes out at 57 kJ/mol of formula units. The calculation puts the density of states at the Fermi level at 2.00 states/eV/f.u. As for the formation energy from raw total energies: 0.059 eV/atom.

---

Record 2
Entry from Alexandria: a relaxed TcSb2Cl crystal (PBE-GGA).

Geometry as POSCAR:
```
TcSb2Cl
1.0
3.323 0.000 0.000
0.000 3.307 0.000
-0.748 0.000 7.871
Tc Sb Cl
1 2 1
Cartesian
0.000 0.000 0.000
0.910 1.654 6.269
1.665 1.654 1.602
-0.374 0.000 3.935
```

The excess energy over the best structure of this formula in the dataset comes out at 0 kJ/mol of formula units. The calculation puts the density of states at the Fermi level at 1.76 states/eV/f.u. As for the formation energy from raw total energies: -0.088 eV/atom.

---

Record 3
Entry from Alexandria: a relaxed TcSbTe2Cl crystal (PBE-GGA).

Geometry as POSCAR:
```
TcSbTe2Cl
1.0
5.185 0.000 0.000
0.000 5.185 0.000
0.000 0.000 5.304
Tc Sb Te Cl
1 1 2 1
Cartesian
0.000 0.000 0.000
0.000 0.000 2.652
0.000 2.592 0.000
2.592 0.000 0.000
2.592 2.592 2.652
```

The excess energy over the best structure of this formula in the dataset comes out at 0 kJ/mol of formula units. The calculation puts the density of states at the Fermi level at 5.04 states/eV/f.u. As for the formation energy from raw total energies: 0.310 eV/atom.

---

Record 4
Entry from Alexandria: a relaxed TcSb2TeCl crystal (PBE-GGA).

Geometry as POSCAR:
```
TcSb2TeCl
1.0
5.205 0.000 0.000
0.000 5.205 0.000
0.000 0.000 5.460
Tc Sb Te Cl
1 2 1 1
Cartesian
0.000 0.000 0.000
0.000 2.602 2.730
2.602 0.000 2.730
2.602 2.602 0.000
2.602 2.602 2.730
```

The excess energy over the best structure of this formula in the dataset comes out at 513 kJ/mol of formula units. The calculation puts the density of states at the Fermi level at 4.11 states/eV/f.u. As for the formation energy from raw total energies: 1.348 eV/atom.

---

Record 5
Entry from Alexandria: a relaxed TcSb2TeCl crystal (PBE-GGA).

Geometry as POSCAR:
```
TcSb2TeCl
1.0
5.224 0.000 0.000
0.000 5.224 0.000
0.000 0.000 5.165
Tc Sb Te Cl
1 2 1 1
Cartesian
0.000 0.000 0.000
0.000 2.612 0.000
2.612 0.000 0.000
0.000 0.000 2.583
2.612 2.612 2.583
```

The excess energy over the best structure of this formula in the dataset comes out at 0 kJ/mol of formula units. The calculation puts the density of states at the Fermi level at 5.96 states/eV/f.u. As for the formation energy from raw total energies: 0.285 eV/atom.

---

Record 6
Entry from Alexandria: a relaxed TcSbTe2Cl crystal (PBE-GGA).

Geometry as POSCAR:
```
TcSbTe2Cl
1.0
5.476 0.000 0.000
0.000 5.476 0.000
0.000 0.000 5.119
Tc Sb Te Cl
1 1 2 1
Cartesian
0.000 0.000 0.000
2.738 2.738 0.000
0.000 2.738 2.560
2.738 0.000 2.560
2.738 2.738 2.560
```

The excess energy over the best structure of this formula in the dataset comes out at 503 kJ/mol of formula units. The calculation puts the density of states at the Fermi level at 4.39 states/eV/f.u. As for the formation energy from raw total energies: 1.352 eV/atom.

---

Record 7
Entry from Alexandria: a relaxed TiTcSbCl2 crystal (PBE-GGA).

Geometry as POSCAR:
```
TiTcSbCl2
1.0
4.598 0.000 0.000
0.000 4.598 0.000
0.000 0.000 5.788
Ti Tc Sb Cl
1 1 1 2
Cartesian
0.000 0.000 0.000
2.299 2.299 2.894
2.299 2.299 0.000
0.000 2.299 2.894
2.299 0.000 2.894
```

The calculation puts the density of states at the Fermi level at 11.97 states/eV/f.u. As for the formation energy from raw total energies: 0.437 eV/atom.

---

Record 8
Entry from Alexandria: a relaxed Sb3TeCl crystal (PBE-GGA).

Geometry as POSCAR:
```
Sb3TeCl
1.0
5.763 0.000 0.000
0.000 5.763 0.000
0.000 0.000 5.763
Sb Te Cl
3 1 1
Cartesian
0.000 0.000 2.882
0.000 2.882 0.000
2.882 0.000 0.000
0.000 0.000 0.000
2.882 2.882 2.882
```

The excess energy over the best structure of this formula in the dataset comes out at 0 kJ/mol of formula units. The calculation puts the density of states at the Fermi level at 3.10 states/eV/f.u. As for the formation energy from raw total energies: 0.759 eV/atom.

---

Record 9
Entry from Alexandria: a relaxed Sb2Te2Cl crystal (PBE-GGA).

Geometry as POSCAR:
```
Sb2Te2Cl
1.0
5.836 0.000 0.000
0.000 5.836 0.000
0.000 0.000 9.443
Sb Te Cl
4 4 2
Cartesian
0.000 0.000 1.520
0.000 0.000 7.923
2.918 2.918 3.202
2.918 2.918 6.241
0.000 2.918 2.361
0.000 2.918 7.082
2.918 0.000 2.361
2.918 0.000 7.082
0.000 0.000 4.721
2.918 2.918 0.000
```

The excess energy over the best structure of this formula in the dataset comes out at 56 kJ/mol of formula units. The calculation puts the density of states at the Fermi level at 2.50 states/eV/f.u. As for the formation energy from raw total energies: -0.110 eV/atom.

---

Record 10
Entry from Alexandria: a relaxed Sb2Te2Cl crystal (PBE-GGA).

Geometry as POSCAR:
```
Sb2Te2Cl
1.0
4.465 0.000 0.000
-2.232 3.867 0.000
0.000 0.000 30.913
Sb Te Cl
6 6 3
Cartesian
0.000 0.000 3.325
0.000 0.000 27.588
0.000 2.578 17.284
0.000 2.578 23.934
2.233 1.289 6.980
2.233 1.289 13.629
0.000 0.000 8.464
0.000 0.000 22.449
0.000 2.578 12.145
0.000 2.578 29.073
2.233 1.289 1.840
2.233 1.289 18.769
0.000 0.000 15.457
0.000 2.578 5.152
2.233 1.289 25.761
```

The excess energy over the best structure of this formula in the dataset comes out at 27 kJ/mol of formula units. The calculation puts the density of states at the Fermi level at 2.00 states/eV/f.u. As for the formation energy from raw total energies: -0.170 eV/atom.

---

Record 11
Entry from Alexandria: a relaxed SbTeCl crystal (PBE-GGA).

Geometry as POSCAR:
```
SbTeCl
1.0
6.249 0.000 0.000
0.220 6.252 0.000
2.348 0.805 6.788
Sb Te Cl
2 2 2
Cartesian
0.000 0.000 0.000
2.455 1.896 4.045
5.930 1.527 3.719
5.960 2.528 1.137
2.488 4.285 4.592
2.643 5.976 0.209
```

As for the formation energy from raw total energies: -0.318 eV/atom.

---

Record 12
Entry from Alexandria: a relaxed SbTeCl crystal (PBE-GGA).

Geometry as POSCAR:
```
SbTeCl
1.0
5.748 0.000 0.000
0.000 4.033 0.000
-0.293 0.000 9.899
Sb Te Cl
2 2 2
Cartesian
1.207 1.008 1.812
4.248 3.025 8.087
1.091 3.025 3.786
4.363 1.008 6.113
0.914 3.025 8.723
4.540 1.008 1.175
```

As for the formation energy from raw total energies: -0.385 eV/atom.

---

Record 13
Entry from Alexandria: a relaxed Sb4TeCl crystal (PBE-GGA).

Geometry as POSCAR:
```
Sb4TeCl
1.0
0.000 4.421 4.421
4.421 0.000 4.421
4.421 4.421 0.000
Sb Te Cl
4 1 1
Cartesian
3.364 3.364 3.364
5.478 5.478 3.364
5.478 3.364 5.478
3.364 5.478 5.478
0.000 0.000 0.000
6.632 6.632 6.632
```

The calculation puts the density of states at the Fermi level at 3.86 states/eV/f.u. As for the formation energy from raw total energies: 0.219 eV/atom.

---

Record 14
Entry from Alexandria: a relaxed Sb2Te2Cl crystal (PBE-GGA).

Geometry as POSCAR:
```
Sb2Te2Cl
1.0
5.455 0.000 0.000
0.000 5.455 0.000
0.000 0.000 12.074
Sb Te Cl
4 4 2
Cartesian
0.000 2.727 3.019
0.000 2.727 9.056
2.727 0.000 3.019
2.727 0.000 9.056
0.000 0.000 1.775
0.000 0.000 10.299
2.727 2.727 4.262
2.727 2.727 7.812
0.000 0.000 6.037
2.727 2.727 0.000
```

The excess energy over the best structure of this formula in the dataset comes out at 129 kJ/mol of formula units. The calculation puts the density of states at the Fermi level at 3.41 states/eV/f.u. As for the formation energy from raw total energies: 0.042 eV/atom.

---

Record 15
Entry from Alexandria: a relaxed SbTeCl crystal (PBE-GGA).

Geometry as POSCAR:
```
SbTeCl
1.0
3.709 0.000 0.000
0.000 3.709 0.000
0.000 0.000 12.810
Sb Te Cl
2 2 2
Cartesian
0.000 0.000 0.000
1.855 1.855 6.405
0.000 0.000 8.066
1.855 1.855 1.661
0.000 0.000 4.580
1.855 1.855 10.985
```

The calculation puts the density of states at the Fermi level at 1.09 states/eV/f.u. As for the formation energy from raw total energies: -0.139 eV/atom.

---

Record 16
Entry from Alexandria: a relaxed Sb3TeCl7 crystal (PBE-GGA).

Geometry as POSCAR:
```
Sb3TeCl7
1.0
8.113 0.000 0.000
-4.056 7.026 0.000
0.000 0.000 7.041
Sb Te Cl
3 1 7
Cartesian
0.000 2.368 0.000
-2.006 5.842 0.000
2.006 5.842 0.000
0.000 4.684 1.890
0.000 0.000 5.326
-1.902 3.586 5.576
1.902 1.098 1.439
1.902 3.586 5.576
0.000 6.880 5.576
6.211 1.098 1.439
4.056 4.830 1.439
```

The calculation puts the density of states at the Fermi level at 0.00 states/eV/f.u. As for the formation energy from raw total energies: -0.719 eV/atom.

---

Record 17
Entry from Alexandria: a relaxed SbTeCl crystal (PBE-GGA).

Geometry as POSCAR:
```
SbTeCl
1.0
3.954 0.000 0.000
0.000 5.809 0.000
0.000 0.000 15.358
Sb Te Cl
4 4 4
Cartesian
0.000 0.000 0.000
0.000 2.905 7.679
1.977 0.000 7.679
1.977 2.905 0.000
0.000 0.000 5.384
0.000 2.905 13.063
1.977 0.000 13.063
1.977 2.905 5.384
0.000 0.000 9.663
0.000 2.905 1.984
1.977 0.000 1.984
1.977 2.905 9.663
```

The calculation puts the density of states at the Fermi level at 0.56 states/eV/f.u. As for the formation energy from raw total energies: -0.142 eV/atom.

---

Record 18
Entry from Alexandria: a relaxed Sb6TeCl12 crystal (PBE-GGA).

Geometry as POSCAR:
```
Sb6TeCl12
1.0
7.736 4.466 3.342
-7.736 4.466 3.342
0.000 -8.933 3.342
Sb Te Cl
6 1 12
Cartesian
-2.186 -1.262 2.777
2.186 -1.262 2.777
0.000 2.524 2.777
0.000 -2.524 7.250
-2.186 1.262 7.250
2.186 1.262 7.250
0.000 0.000 5.013
-2.986 -3.760 3.342
-4.749 -0.706 3.342
0.000 -2.284 1.645
-1.978 1.142 1.645
1.978 1.142 1.645
2.986 -3.760 3.342
-1.763 4.466 3.342
4.749 -0.706 3.342
1.763 4.466 3.342
-1.978 -1.142 8.382
1.978 -1.142 8.382
0.000 2.284 8.382
```

The calculation puts the density of states at the Fermi level at 7.08 states/eV/f.u. As for the formation energy from raw total energies: -0.519 eV/atom.

---

Record 19
Entry from Alexandria: a relaxed SbTe4Cl crystal (PBE-GGA).

Geometry as POSCAR:
```
SbTe4Cl
1.0
0.000 4.443 4.443
4.443 0.000 4.443
4.443 4.443 0.000
Sb Te Cl
1 4 1
Cartesian
0.000 0.000 0.000
5.562 3.325 3.325
3.325 5.562 3.325
3.325 3.325 5.562
5.562 5.562 5.562
2.222 2.222 2.222
```

The calculation puts the density of states at the Fermi level at 4.14 states/eV/f.u. As for the formation energy from raw total energies: 0.313 eV/atom.

---

Record 20
Entry from Alexandria: a relaxed Sb2Te2Cl crystal (PBE-GGA).

Geometry as POSCAR:
```
Sb2Te2Cl
1.0
6.863 0.000 0.000
-3.304 6.761 0.000
-2.033 -3.127 8.143
Sb Te Cl
4 4 2
Cartesian
0.002 2.227 0.256
0.108 -0.607 3.794
1.419 4.240 4.349
1.525 1.407 7.887
-3.854 3.455 6.552
-1.222 4.556 1.656
2.748 -0.922 6.487
5.381 0.179 1.590
-0.695 1.143 5.452
2.221 2.491 2.691
```

The excess energy over the best structure of this formula in the dataset comes out at 0 kJ/mol of formula units. As for the formation energy from raw total energies: -0.226 eV/atom.

---

Record 21
Entry from Alexandria: a relaxed SbTeCl crystal (PBE-GGA).

Geometry as POSCAR:
```
SbTeCl
1.0
3.235 0.000 0.000
0.000 4.964 0.000
0.000 0.000 13.824
Sb Te Cl
2 2 2
Cartesian
0.000 0.000 0.000
1.617 2.482 6.912
0.000 0.000 11.114
1.617 2.482 4.202
0.000 0.000 7.284
1.617 2.482 0.372
```

The calculation puts the density of states at the Fermi level at 0.90 states/eV/f.u. As for the formation energy from raw total energies: -0.157 eV/atom.

---

Record 22
Entry from Alexandria: a relaxed SbTeCl crystal (PBE-GGA).

Geometry as POSCAR:
```
SbTeCl
1.0
7.199 0.000 0.000
0.000 7.199 0.000
0.000 0.000 7.199
Sb Te Cl
4 4 4
Cartesian
0.000 0.000 0.000
0.000 3.599 3.599
3.599 0.000 3.599
3.599 3.599 0.000
1.800 1.800 5.399
1.800 5.399 1.800
5.399 1.800 1.800
5.399 5.399 5.399
1.800 1.800 1.800
1.800 5.399 5.399
5.399 1.800 5.399
5.399 5.399 1.800
```

The calculation puts the density of states at the Fermi level at 0.80 states/eV/f.u. As for the formation energy from raw total energies: -0.225 eV/atom.

---

Record 23
Entry from Alexandria: a relaxed Sb3TeCl crystal (PBE-GGA).

Geometry as POSCAR:
```
Sb3TeCl
1.0
5.387 0.000 0.000
0.000 5.387 0.000
0.000 0.000 5.387
Sb Te Cl
3 1 1
Cartesian
0.000 0.000 2.693
0.000 2.693 0.000
2.693 0.000 0.000
2.693 2.693 2.693
0.000 0.000 0.000
```

The excess energy over the best structure of this formula in the dataset comes out at 13 kJ/mol of formula units. The calculation puts the density of states at the Fermi level at 4.40 states/eV/f.u. As for the formation energy from raw total energies: 0.786 eV/atom.

---

Record 24
Entry from Alexandria: a relaxed Sb2Te2Cl crystal (PBE-GGA).

Geometry as POSCAR:
```
Sb2Te2Cl
1.0
8.256 0.000 0.000
0.000 8.256 0.000
0.000 0.000 4.171
Sb Te Cl
4 4 2
Cartesian
1.314 2.814 0.000
2.814 6.942 0.000
5.441 1.314 0.000
6.942 5.441 0.000
1.248 5.376 2.085
2.880 1.248 2.085
5.376 7.008 2.085
7.008 2.880 2.085
0.000 0.000 0.000
4.128 4.128 0.000
```

The excess energy over the best structure of this formula in the dataset comes out at 58 kJ/mol of formula units. The calculation puts the density of states at the Fermi level at 3.22 states/eV/f.u. As for the formation energy from raw total energies: -0.105 eV/atom.

---

Record 25
Entry from Alexandria: a relaxed TlSb2TeCl crystal (PBE-GGA).

Geometry as POSCAR:
```
TlSb2TeCl
1.0
5.772 0.000 0.000
0.000 5.772 0.000
0.000 0.000 5.713
Tl Sb Te Cl
1 2 1 1
Cartesian
0.000 0.000 0.000
0.000 2.886 0.000
2.886 0.000 0.000
0.000 0.000 2.856
2.886 2.886 2.856
```

The excess energy over the best structure of this formula in the dataset comes out at 112 kJ/mol of formula units. The calculation puts the density of states at the Fermi level at 3.75 states/eV/f.u. As for the formation energy from raw total energies: 0.739 eV/atom.

---

Record 26
Entry from Alexandria: a relaxed TlSb2TeCl crystal (PBE-GGA).

Geometry as POSCAR:
```
TlSb2TeCl
1.0
5.367 0.000 0.000
0.000 5.367 0.000
0.000 0.000 5.831
Tl Sb Te Cl
1 2 1 1
Cartesian
0.000 0.000 0.000
0.000 2.684 2.915
2.684 0.000 2.915
2.684 2.684 0.000
2.684 2.684 2.915
```

The excess energy over the best structure of this formula in the dataset comes out at 0 kJ/mol of formula units. The calculation puts the density of states at the Fermi level at 5.94 states/eV/f.u. As for the formation energy from raw total energies: 0.506 eV/atom.

---

Record 27
Entry from Alexandria: a relaxed SbTeWCl2 crystal (PBE-GGA).

Geometry as POSCAR:
```
SbTeWCl2
1.0
5.042 0.000 0.000
0.000 5.042 0.000
0.000 0.000 6.294
Sb Te W Cl
1 1 1 2
Cartesian
0.000 0.000 0.000
0.000 0.000 3.147
2.521 2.521 3.147
0.000 2.521 0.000
2.521 0.000 0.000
```

The calculation puts the density of states at the Fermi level at 1.53 states/eV/f.u. As for the formation energy from raw total energies: 0.909 eV/atom.

---

Record 28
Entry from Alexandria: a relaxed Sb2TeWCl crystal (PBE-GGA).

Geometry as POSCAR:
```
Sb2TeWCl
1.0
5.124 0.000 0.000
0.000 5.124 0.000
0.000 0.000 5.352
Sb Te W Cl
2 1 1 1
Cartesian
0.000 2.562 0.000
2.562 0.000 0.000
0.000 0.000 2.676
2.562 2.562 2.676
0.000 0.000 0.000
```

The excess energy over the best structure of this formula in the dataset comes out at 605 kJ/mol of formula units. The calculation puts the density of states at the Fermi level at 3.06 states/eV/f.u. As for the formation energy from raw total energies: 1.597 eV/atom.